Record 1
## ScZnCdIr (PBE-GGA)

Data for ScZnCdIr after structural relaxation.

CIF file:
```
data_ScZnCdIr
_chemical_formula_sum 'Sc1 Zn1 Cd1 Ir1'
_space_group_name_H-M_alt 'P 1'
_space_group_IT_number 1
_cell_length_a 4.599
_cell_length_b 4.599
_cell_length_c 4.599
_cell_angle_alpha 60.00
_cell_angle_beta 60.00
_cell_angle_gamma 60.00
loop_
_space_group_symop_operation_xyz
'x,y,z'
loop_
_atom_site_label
_atom_site_type_symbol
_atom_site_fract_x
_atom_site_fract_y
_atom_site_fract_z
Sc1 Sc 0.000 0.000 0.000
Zn1 Zn 0.500 0.500 0.500
Cd1 Cd 0.750 0.750 0.750
Ir1 Ir 0.250 0.250 0.250
```

Results
* energy of formation from the pure elements: -32.45 kJ per mole of atoms
* magnetic moment: 0.00 μB/atom

Record 2
## RbAcZnS3 (PBE-GGA)

Data for RbAcZnS3 after structural relaxation.

CIF file:
```
data_RbAcZnS3
_chemical_formula_sum 'Rb2 Ac2 Zn2 S6'
_space_group_name_H-M_alt 'P 1'
_space_group_IT_number 1
_cell_length_a 9.442
_cell_length_b 4.291
_cell_length_c 9.757
_cell_angle_alpha 90.00
_cell_angle_beta 103.74
_cell_angle_gamma 90.00
loop_
_space_group_symop_operation_xyz
'x,y,z'
loop_
_atom_site_label
_atom_site_type_symbol
_atom_site_fract_x
_atom_site_fract_y
_atom_site_fract_z
Rb1 Rb 0.185 0.250 0.218
Rb2 Rb 0.815 0.750 0.782
Ac1 Ac 0.339 0.750 0.840
Ac2 Ac 0.661 0.250 0.160
Zn1 Zn 0.078 0.250 0.605
Zn2 Zn 0.922 0.750 0.395
S1 S 0.120 0.250 0.847
S2 S 0.170 0.750 0.524
S3 S 0.443 0.750 0.150
S4 S 0.557 0.250 0.850
S5 S 0.830 0.250 0.476
S6 S 0.880 0.750 0.153
```

Results
* ΔE_f (raw): -1.477 eV/atom
* magnetic moment: 0.00 μB/atom

Record 3
## Tl3ZnCd (PBE-GGA)

Data for Tl3ZnCd after structural relaxation.

CIF file:
```
data_Tl3ZnCd
_chemical_formula_sum 'Tl3 Zn1 Cd1'
_space_group_name_H-M_alt 'P 1'
_space_group_IT_number 1
_cell_length_a 5.703
_cell_length_b 5.703
_cell_length_c 5.703
_cell_angle_alpha 90.00
_cell_angle_beta 90.00
_cell_angle_gamma 90.00
loop_
_space_group_symop_operation_xyz
'x,y,z'
loop_
_atom_site_label
_atom_site_type_symbol
_atom_site_fract_x
_atom_site_fract_y
_atom_site_fract_z
Tl1 Tl 0.000 0.000 0.500
Tl2 Tl 0.000 0.500 0.000
Tl3 Tl 0.500 0.000 0.000
Zn1 Zn 0.500 0.500 0.500
Cd1 Cd 0.000 0.000 0.000
```

Results
* energy of formation from the pure elements: 40.68 kJ per mole of atoms
* magnetic moment: 0.00 μB/atom

Record 4
## ScCdCS2 (PBE-GGA)

Data for ScCdCS2 after structural relaxation.

CIF file:
```
data_ScCdCS2
_chemical_formula_sum 'Sc1 Cd1 C1 S2'
_space_group_name_H-M_alt 'P 1'
_space_group_IT_number 1
_cell_length_a 4.604
_cell_length_b 4.604
_cell_length_c 4.172
_cell_angle_alpha 90.00
_cell_angle_beta 90.00
_cell_angle_gamma 90.00
loop_
_space_group_symop_operation_xyz
'x,y,z'
loop_
_atom_site_label
_atom_site_type_symbol
_atom_site_fract_x
_atom_site_fract_y
_atom_site_fract_z
Sc1 Sc 0.000 0.000 0.000
Cd1 Cd 0.500 0.500 0.000
C1 C 0.000 0.000 0.500
S1 S 0.000 0.500 0.500
S2 S 0.500 0.000 0.500
```

Results
* ΔE_f (raw): 0.403 eV/atom
* magnetic moment: 0.00 μB/atom

Record 5
## Ca2NiTeS (PBE-GGA)

Data for Ca2NiTeS after structural relaxation.

CIF file:
```
data_Ca2NiTeS
_chemical_formula_sum 'Ca2 Ni1 Te1 S1'
_space_group_name_H-M_alt 'P 1'
_space_group_IT_number 1
_cell_length_a 5.472
_cell_length_b 5.472
_cell_length_c 4.148
_cell_angle_alpha 90.00
_cell_angle_beta 90.00
_cell_angle_gamma 90.00
loop_
_space_group_symop_operation_xyz
'x,y,z'
loop_
_atom_site_label
_atom_site_type_symbol
_atom_site_fract_x
_atom_site_fract_y
_atom_site_fract_z
Ca1 Ca 0.000 0.500 0.000
Ca2 Ca 0.500 0.000 0.000
Ni1 Ni 0.000 0.000 0.500
Te1 Te 0.500 0.500 0.500
S1 S 0.000 0.000 0.000
```

Results
* ΔE_f (raw): -1.144 eV/atom
* magnetic moment: 0.00 μB/atom

Record 6
## ZrSb2AuI (PBE-GGA)

Data for ZrSb2AuI after structural relaxation.

CIF file:
```
data_ZrSb2AuI
_chemical_formula_sum 'Zr1 Sb2 Au1 I1'
_space_group_name_H-M_alt 'P 1'
_space_group_IT_number 1
_cell_length_a 5.616
_cell_length_b 5.616
_cell_length_c 5.531
_cell_angle_alpha 90.00
_cell_angle_beta 90.00
_cell_angle_gamma 90.00
loop_
_space_group_symop_operation_xyz
'x,y,z'
loop_
_atom_site_label
_atom_site_type_symbol
_atom_site_fract_x
_atom_site_fract_y
_atom_site_fract_z
Zr1 Zr 0.000 0.000 0.000
Sb1 Sb 0.000 0.500 0.000
Sb2 Sb 0.500 0.000 0.000
Au1 Au 0.500 0.500 0.500
I1 I 0.000 0.000 0.500
```

Results
* ΔE_f (raw): 0.390 eV/atom
* magnetic moment: 0.00 μB/atom

Record 7
## Mn4V3Cr (PBE-GGA)

Data for Mn4V3Cr after structural relaxation.

CIF file:
```
data_Mn4V3Cr
_chemical_formula_sum 'Mn4 V3 Cr1'
_space_group_name_H-M_alt 'P 1'
_space_group_IT_number 1
_cell_length_a 2.858
_cell_length_b 2.858
_cell_length_c 11.450
_cell_angle_alpha 90.00
_cell_angle_beta 90.00
_cell_angle_gamma 90.00
loop_
_space_group_symop_operation_xyz
'x,y,z'
loop_
_atom_site_label
_atom_site_type_symbol
_atom_site_fract_x
_atom_site_fract_y
_atom_site_fract_z
Mn1 Mn 0.000 0.000 0.122
Mn2 Mn 0.000 0.000 0.374
Mn3 Mn 0.000 0.000 0.626
Mn4 Mn 0.000 0.000 0.878
V1 V 0.500 0.500 0.249
V2 V 0.500 0.500 0.500
V3 V 0.500 0.500 0.751
Cr1 Cr 0.500 0.500 0.000
```

Results
* energy of formation from the pure elements: -18.24 kJ per mole of atoms
* magnetic moment: 0.00 μB/atom

Record 8
## Al5ZnRu6 (PBE-GGA)

Data for Al5ZnRu6 after structural relaxation.

CIF file:
```
data_Al5ZnRu6
_chemical_formula_sum 'Al5 Zn1 Ru6'
_space_group_name_H-M_alt 'P 1'
_space_group_IT_number 1
_cell_length_a 7.378
_cell_length_b 7.378
_cell_length_c 7.378
_cell_angle_alpha 146.48
_cell_angle_beta 131.93
_cell_angle_gamma 59.87
loop_
_space_group_symop_operation_xyz
'x,y,z'
loop_
_atom_site_label
_atom_site_type_symbol
_atom_site_fract_x
_atom_site_fract_y
_atom_site_fract_z
Al1 Al 0.000 0.000 0.000
Al2 Al 0.167 0.667 0.500
Al3 Al 0.333 0.333 0.000
Al4 Al 0.667 0.667 0.000
Al5 Al 0.833 0.333 0.500
Zn1 Zn 0.500 0.000 0.500
Ru1 Ru 0.082 0.833 0.249
Ru2 Ru 0.248 0.500 0.748
Ru3 Ru 0.416 0.167 0.249
Ru4 Ru 0.584 0.833 0.751
Ru5 Ru 0.752 0.500 0.252
Ru6 Ru 0.918 0.167 0.751
```

Results
* energy of formation from the pure elements: -51.23 kJ per mole of atoms
* magnetic moment: 0.00 μB/atom

Record 9
## Y2RhN (PBE-GGA)

Data for Y2RhN after structural relaxation.

CIF file:
```
data_Y2RhN
_chemical_formula_sum 'Y4 Rh2 N2'
_space_group_name_H-M_alt 'P 1'
_space_group_IT_number 1
_cell_length_a 6.053
_cell_length_b 6.053
_cell_length_c 6.053
_cell_angle_alpha 114.86
_cell_angle_beta 114.86
_cell_angle_gamma 99.17
loop_
_space_group_symop_operation_xyz
'x,y,z'
loop_
_atom_site_label
_atom_site_type_symbol
_atom_site_fract_x
_atom_site_fract_y
_atom_site_fract_z
Y1 Y 0.062 0.625 0.937
Y2 Y 0.375 0.312 0.437
Y3 Y 0.688 0.125 0.063
Y4 Y 0.875 0.938 0.563
Rh1 Rh 0.250 0.750 0.500
Rh2 Rh 0.500 0.500 0.000
N1 N 0.000 0.000 0.000
N2 N 0.750 0.250 0.500
```

Results
* ΔE_f (raw): -0.819 eV/atom
* magnetic moment: 0.00 μB/atom

Record 10
## La8SbSe6 (PBE-GGA)

Data for La8SbSe6 after structural relaxation.

CIF file:
```
data_La8SbSe6
_chemical_formula_sum 'La8 Sb1 Se6'
_space_group_name_H-M_alt 'P 1'
_space_group_IT_number 1
_cell_length_a 10.991
_cell_length_b 10.991
_cell_length_c 4.393
_cell_angle_alpha 90.00
_cell_angle_beta 90.00
_cell_angle_gamma 120.00
loop_
_space_group_symop_operation_xyz
'x,y,z'
loop_
_atom_site_label
_atom_site_type_symbol
_atom_site_fract_x
_atom_site_fract_y
_atom_site_fract_z
La1 La 0.034 0.709 0.255
La2 La 0.291 0.325 0.255
La3 La 0.325 0.034 0.745
La4 La 0.333 0.667 0.748
La5 La 0.667 0.333 0.252
La6 La 0.675 0.966 0.255
La7 La 0.709 0.675 0.745
La8 La 0.966 0.291 0.745
Sb1 Sb 0.000 0.000 0.500
Se1 Se 0.131 0.483 0.249
Se2 Se 0.352 0.869 0.249
Se3 Se 0.483 0.352 0.751
Se4 Se 0.517 0.648 0.249
Se5 Se 0.648 0.131 0.751
Se6 Se 0.869 0.517 0.751
```

Results
* ΔE_f (raw): -1.539 eV/atom
* magnetic moment: 0.00 μB/atom